A relaxed LaTi2Si2 crystal. Source: the Alexandria database, functional PBE.

It has space group I4/mmm (No. 139), with a = 4.7707 Å, b = 4.7707 Å, c = 9.3785 Å, α = 90.00°, β = 90.00° and γ = 90.00°. Symmetry generates all atoms from La at (0.0000, 0.0000, 0.0000), Ti at (0.0000, 0.0000, 0.3394) and Si at (0.0000, 0.5000, 0.2500).

Its raw formation energy is -262 meV/atom. The value obtained for the density is 4.5 g/cm³. The magnetization comes out at 2.25 μB/f.u. As for the calculated volume: 213.45 Å³ per cell.